VASP calculation (GGA-PBE) on Na2AlIr2S6 after structural relaxation.

Properties
formation energy (no corrections) = -0.746 eV/atom
magnetic moment = 0.00 μB per formula unit

a b c (Å): 6.1479 10.8070 6.9186
angles (deg): 90.00 107.69 90.00
Last column: nearest neighbours and their distance in Å.
Space group C2/m (No. 12)
Asymmetric unit:
Na 0.0000 0.1657 0.0000 x4  6 S 2.87-2.93
Al 0.0000 0.0000 0.5000 x2  6 S 2.44-2.47
Ir 0.0000 0.3342 0.5000 x4  6 S 2.39-2.40
S 0.2241 0.5000 0.6903 x4  2 Ir 2.40, 1 Al 2.44
S 0.2334 0.1721 0.6892 x8  2 Ir 2.39, 1 Al 2.47